! TaIn2Se | Alexandria via LeMat-Bulk | meta-GGA SCAN | PBEsol geometry; values from VASP
! Energy relative to the elements, uncorrected   0.24 eV per atom
! Crystal system   trigonal
! Volume   20.6 Å³/atom
! Symmetry   R-3m, No. 166
! Final energy   -38.1176 eV per atom
&SYSTEM
  ibrav = 0, nat = 4, ntyp = 3
/
ATOMIC_SPECIES
In 114.82 In.upf
Se 78.96 Se.upf
Ta 180.95 Ta.upf
CELL_PARAMETERS angstrom
-0.815 2.043 2.512
-3.038 1.381 0.110
-4.156 -5.531 5.367
ATOMIC_POSITIONS angstrom
In -2.033 -0.597 2.045
In -5.976 -1.510 5.945
Se -4.004 -1.053 3.995
Ta 0.000 0.000 0.000

! TaIn2Se | Alexandria via LeMat-Bulk | meta-GGA SCAN | PBEsol geometry; values from VASP
! Energy relative to the elements, uncorrected   0.05 eV per atom
! Crystal system   orthorhombic
! Volume   21.3 Å³/atom
! Symmetry   Imm2, No. 44
! Final energy   -38.3125 eV per atom
&SYSTEM
  ibrav = 0, nat = 4, ntyp = 3
/
ATOMIC_SPECIES
In 114.82 In.upf
Se 78.96 Se.upf
Ta 180.95 Ta.upf
CELL_PARAMETERS angstrom
-1.960 -2.488 -0.500
0.294 -1.216 4.899
-3.318 4.919 -1.189
ATOMIC_POSITIONS angstrom
In -4.737 1.032 3.150
In -3.164 0.370 0.281
Se -1.178 -1.597 2.283
Ta -1.722 0.773 2.904

! TaInSe2 | Alexandria via LeMat-Bulk | meta-GGA SCAN | PBEsol geometry; values from VASP
! Energy relative to the elements, uncorrected   -0.34 eV per atom
! Crystal system   orthorhombic
! Volume   22.4 Å³/atom
! Symmetry   Imm2, No. 44
! Final energy   -35.3761 eV per atom
&SYSTEM
  ibrav = 0, nat = 4, ntyp = 3
/
ATOMIC_SPECIES
In 114.82 In.upf
Se 78.96 Se.upf
Ta 180.95 Ta.upf
CELL_PARAMETERS angstrom
-0.012 -1.088 -3.091
2.703 -1.915 0.663
-6.202 -4.605 3.383
ATOMIC_POSITIONS angstrom
In -2.980 -4.283 -0.217
Se -3.264 -7.296 0.844
Se -0.284 -3.013 1.062
Ta 0.850 -2.124 -0.992

! Ta2InSe | Alexandria via LeMat-Bulk | meta-GGA SCAN | PBEsol geometry; values from VASP
! Energy relative to the elements, uncorrected   0.28 eV per atom
! Crystal system   tetragonal
! Volume   17.8 Å³/atom
! Symmetry   P4/mmm, No. 123
! Final energy   -46.3735 eV per atom
&SYSTEM
  ibrav = 0, nat = 4, ntyp = 3
/
ATOMIC_SPECIES
In 114.82 In.upf
Se 78.96 Se.upf
Ta 180.95 Ta.upf
CELL_PARAMETERS angstrom
3.116 0.000 0.000
0.000 4.780 0.000
0.000 0.000 4.780
ATOMIC_POSITIONS angstrom
In 1.558 2.390 2.390
Se 1.558 0.000 0.000
Ta 0.000 0.000 2.390
Ta 0.000 2.390 0.000

! Ta2InTeSe | Alexandria via LeMat-Bulk | meta-GGA SCAN | PBEsol geometry; values from VASP
! Energy relative to the elements, uncorrected   1.12 eV per atom
! Crystal system   tetragonal
! Volume   24.3 Å³/atom
! Symmetry   P4/mmm, No. 123
! Final energy   -43.6528 eV per atom
&SYSTEM
  ibrav = 0, nat = 5, ntyp = 4
/
ATOMIC_SPECIES
Te 127.60 Te.upf
In 114.82 In.upf
Se 78.96 Se.upf
Ta 180.95 Ta.upf
CELL_PARAMETERS angstrom
-2.051 2.614 -3.395
-3.884 -2.723 0.251
-2.050 3.269 3.755
ATOMIC_POSITIONS angstrom
Te -3.993 1.580 0.305
In -1.025 1.635 1.878
Se 0.000 0.000 0.000
Ta -1.942 -1.362 0.125
Ta -1.026 1.307 -1.698

! TaTi2InSe | Alexandria via LeMat-Bulk | meta-GGA SCAN | PBEsol geometry; values from VASP
! Energy relative to the elements, uncorrected   1.69 eV per atom
! Crystal system   tetragonal
! Volume   23.6 Å³/atom
! Symmetry   P4/mmm, No. 123
! Final energy   -28.7343 eV per atom
&SYSTEM
  ibrav = 0, nat = 5, ntyp = 4
/
ATOMIC_SPECIES
In 114.82 In.upf
Ti 47.87 Ti.upf
Se 78.96 Se.upf
Ta 180.95 Ta.upf
CELL_PARAMETERS angstrom
-1.226 -3.507 -3.201
2.070 -3.375 2.905
-4.280 -0.625 2.324
ATOMIC_POSITIONS angstrom
In 0.000 0.000 0.000
Ti -2.140 -0.313 1.162
Ti 1.035 -1.688 1.452
Se -0.613 -1.753 -1.600
Ta -1.718 -3.753 1.014